No. 1
{
  "formula": "AcPm2Cl8",
  "functional": "PBE",
  "state": "optimized geometry",
  "e_form_raw_ev_per_atom": -2.150,
  "lattice_angstrom": [[4.2914, -6.2973, 0.0000], [4.2914, 6.2973, 0.0000], [-1.4944, 0.0000, 5.1625]],
  "species": ["Ac", "Pm", "Pm", "Cl", "Cl", "Cl", "Cl", "Cl", "Cl", "Cl", "Cl"],
  "frac_coords": [[0.0000, 0.0000, 0.0000], [0.3186, 0.6814, 0.5000], [0.6814, 0.3186, 0.5000], [0.0623, 0.3184, 0.5752], [0.2377, 0.7623, 0.0000], [0.3184, 0.0623, 0.5752], [0.3682, 0.3682, 0.1790], [0.6318, 0.6318, 0.8210], [0.6816, 0.9377, 0.4248], [0.7623, 0.2377, 0.0000], [0.9377, 0.6816, 0.4248]]
}

***

No. 2
{
  "formula": "ZnHW2",
  "functional": "PBE",
  "state": "optimized geometry",
  "polymorph_energy_ev_per_fu": 0.316,
  "lattice_angstrom": [[1.4132, 0.8159, 7.8232], [-1.4132, 0.8159, 7.8232], [0.0000, -1.6318, 7.8232]],
  "species": ["Zn", "H", "W", "W"],
  "frac_coords": [[0.0000, 0.0000, 0.0000], [0.5000, 0.5000, 0.5000], [0.1142, 0.1142, 0.1142], [0.8858, 0.8858, 0.8858]]
}

***

No. 3
{
  "formula": "Na2UAs3Pt4",
  "functional": "PBE",
  "state": "optimized geometry",
  "e_form_kj_per_mol_atoms": -40,
  "lattice_angstrom": [[4.1968, 0.0000, 0.0000], [0.0000, 4.1968, 0.0000], [0.0000, 0.0000, 11.5927]],
  "species": ["Na", "Na", "U", "As", "As", "As", "Pt", "Pt", "Pt", "Pt"],
  "frac_coords": [[0.0000, 0.5000, 0.2250], [0.5000, 0.0000, 0.7750], [0.0000, 0.0000, 0.5000], [0.0000, 0.5000, 0.8733], [0.5000, 0.0000, 0.1267], [0.5000, 0.5000, 0.5000], [0.0000, 0.0000, 0.0000], [0.0000, 0.5000, 0.6635], [0.5000, 0.0000, 0.3365], [0.5000, 0.5000, 0.0000]]
}

***

No. 4
{
  "formula": "AcPm3Pd",
  "functional": "PBE",
  "state": "optimized geometry",
  "polymorph_energy_ev_per_fu": 0.507,
  "e_form_kj_per_mol_atoms": -14,
  "lattice_angstrom": [[5.6834, 0.0000, 0.0000], [0.0000, 5.6834, 0.0000], [0.0000, 0.0000, 5.6834]],
  "species": ["Ac", "Pm", "Pm", "Pm", "Pd"],
  "frac_coords": [[0.0000, 0.0000, 0.0000], [0.0000, 0.5000, 0.5000], [0.5000, 0.0000, 0.5000], [0.5000, 0.5000, 0.0000], [0.5000, 0.5000, 0.5000]]
}

***

No. 5
{
  "formula": "HgS2Cl",
  "functional": "PBE",
  "state": "optimized geometry",
  "polymorph_energy_ev_per_fu": 3.469,
  "e_form_raw_ev_per_atom": 0.783,
  "lattice_angstrom": [[0.0000, 3.3878, 3.3878], [3.3878, 0.0000, 3.3878], [3.3878, 3.3878, 0.0000]],
  "species": ["Hg", "S", "S", "Cl"],
  "frac_coords": [[0.0000, 0.0000, 0.0000], [0.2500, 0.2500, 0.2500], [0.7500, 0.7500, 0.7500], [0.5000, 0.5000, 0.5000]]
}

***

No. 6
{
  "formula": "Rb2AgP2S6",
  "functional": "PBE",
  "state": "optimized geometry",
  "e_form_raw_ev_per_atom": -0.516,
  "lattice_angstrom": [[3.4825, 2.0106, 7.0630], [-3.4825, 2.0106, 7.0630], [0.0000, -4.0212, 7.0630]],
  "species": ["Rb", "Rb", "Ag", "P", "P", "S", "S", "S", "S", "S", "S"],
  "frac_coords": [[0.2329, 0.2329, 0.2329], [0.7671, 0.7671, 0.7671], [0.0000, 0.0000, 0.0000], [0.4326, 0.4326, 0.4326], [0.5674, 0.5674, 0.5674], [0.2510, 0.7448, 0.7448], [0.2552, 0.2552, 0.7490], [0.2552, 0.7490, 0.2552], [0.7448, 0.2510, 0.7448], [0.7448, 0.7448, 0.2510], [0.7490, 0.2552, 0.2552]]
}

***

No. 7
{
  "formula": "Mg2TlCu",
  "functional": "PBE",
  "state": "optimized geometry",
  "e_form_kj_per_mol_atoms": 6,
  "lattice_angstrom": [[3.5906, 0.0000, 0.0000], [0.0000, 3.6672, 0.0000], [0.0000, 0.0000, 6.1813]],
  "species": ["Mg", "Mg", "Tl", "Cu"],
  "frac_coords": [[0.0000, 0.0000, 0.0000], [0.5000, 0.5000, 0.2727], [0.0000, 0.0000, 0.5396], [0.5000, 0.5000, 0.8169]]
}

***

No. 8
{
  "formula": "Sm3Bi4Au3",
  "functional": "PBE",
  "state": "optimized geometry",
  "e_form_kj_per_mol_atoms": -69,
  "lattice_angstrom": [[-5.1354, 5.1354, 5.1354], [5.1354, -5.1354, 5.1354], [5.1354, 5.1354, -5.1354]],
  "species": ["Sm", "Sm", "Sm", "Sm", "Sm", "Sm", "Bi", "Bi", "Bi", "Bi", "Bi", "Bi", "Bi", "Bi", "Au", "Au", "Au", "Au", "Au", "Au"],
  "frac_coords": [[0.1250, 0.7500, 0.8750], [0.2500, 0.6250, 0.3750], [0.3750, 0.2500, 0.6250], [0.6250, 0.3750, 0.2500], [0.7500, 0.8750, 0.1250], [0.8750, 0.1250, 0.7500], [0.0000, 0.3185, 0.5000], [0.0000, 0.8185, 0.5000], [0.1815, 0.1815, 0.1815], [0.3185, 0.5000, 0.0000], [0.5000, 0.0000, 0.3185], [0.5000, 0.0000, 0.8185], [0.6815, 0.6815, 0.6815], [0.8185, 0.5000, 0.0000], [0.1250, 0.8750, 0.2500], [0.2500, 0.1250, 0.8750], [0.3750, 0.6250, 0.7500], [0.6250, 0.7500, 0.3750], [0.7500, 0.3750, 0.6250], [0.8750, 0.2500, 0.1250]]
}